# K2Ca3UF12

A geometry-optimized K2Ca3UF12 structure (PBE, Alexandria).

Cell and atoms, written as CIF:
```
data_K2Ca3UF12
_chemical_formula_sum 'K2 Ca3 U1 F12'
_space_group_name_H-M_alt 'P 1'
_space_group_IT_number 1
_space_group_name_Hall 'P 1'
_cell_length_a 8.5648
_cell_length_b 8.5648
_cell_length_c 8.5648
_cell_angle_alpha 55.90
_cell_angle_beta 55.90
_cell_angle_gamma 55.90
loop_
_atom_site_label
_atom_site_type_symbol
_atom_site_fract_x
_atom_site_fract_y
_atom_site_fract_z
K1 K 0.0748 0.0748 0.0748
K2 K 0.9252 0.9252 0.9252
Ca1 Ca 0.0000 0.5000 0.5000
Ca2 Ca 0.5000 0.0000 0.5000
Ca3 Ca 0.5000 0.5000 0.0000
U1 U 0.5000 0.5000 0.5000
F1 F 0.1657 0.1657 0.5941
F2 F 0.1657 0.5941 0.1657
F3 F 0.1897 0.5629 0.5629
F4 F 0.4059 0.8343 0.8343
F5 F 0.4371 0.4371 0.8103
F6 F 0.4371 0.8103 0.4371
F7 F 0.5629 0.1897 0.5629
F8 F 0.5629 0.5629 0.1897
F9 F 0.5941 0.1657 0.1657
F10 F 0.8103 0.4371 0.4371
F11 F 0.8343 0.4059 0.8343
F12 F 0.8343 0.8343 0.4059
```

## Properties
- E_tot (eV/cell) = -105.2
- space group = R-3m (166)
- volume (A^3/atom) = 22.3
- crystal system = trigonal
- M_tot (Bohr magnetons per cell) = 2.0